No. 1
Here is an optimized crystal structure of HoErTm6 from OQMD. Energies are from PBE.

Lattice parameters (Å, degrees): 7.0979 7.0979 5.5224 90.00 90.00 120.00
Space group P-6m2 (No. 187)
Symmetry-distinct sites (fractional):
Ho 0.0000 0.0000 0.0000 [1 per cell]
Er 0.6667 0.3333 0.5000 [1 per cell]
Tm 0.0008 0.5004 0.0000 [3 per cell]
Tm 0.1670 0.3341 0.5000 [3 per cell]

Properties
The formation energy comes out at 0.000 eV/atom. As for the total energy: -4.4986 eV/atom.

---

No. 2
Here is an optimized crystal structure of Lu2BeNi from OQMD. Energies are from PBE.

Lattice parameters (Å, degrees): 6.4642 6.4642 6.4642 90.00 90.00 90.00
Space group F-43m (No. 216)
Symmetry-distinct sites (fractional):
Lu 0.0000 0.0000 0.0000 [4 per cell]
Lu 0.2500 0.2500 0.2500 [4 per cell]
Be 0.0000 0.0000 0.5000 [4 per cell]
Ni 0.2500 0.2500 0.7500 [4 per cell]

Properties
As for the total energy: -4.4790 eV/atom.

---

No. 3
Here is an optimized crystal structure of Nb2CN2O2 from OQMD. Energies are from PBE.

Lattice parameters (Å, degrees): 3.0937 3.0937 18.7510 90.00 90.00 120.00
Space group P6_3/mmc (No. 194)
Symmetry-distinct sites (fractional):
Nb 0.3333 0.6667 0.1088 [4 per cell]
C 0.0000 0.0000 0.2500 [2 per cell]
N 0.0000 0.0000 0.1838 [4 per cell]
O 0.3333 0.6667 0.5529 [4 per cell]

Properties
As for the total energy: -8.9170 eV/atom.

---

No. 4
Here is an optimized crystal structure of Sr2MgTcSe6 from OQMD. Energies are from PBE.

Lattice parameters (Å, degrees): 6.6415 6.6415 11.3956 90.00 90.00 90.00
Space group I4/m (No. 87)
Symmetry-distinct sites (fractional):
Sr 0.0000 0.5000 0.2500 [4 per cell]
Mg 0.0000 0.0000 0.0000 [2 per cell]
Tc 0.0000 0.0000 0.5000 [2 per cell]
Se 0.0000 0.0000 0.2652 [4 per cell]
Se 0.1384 0.6489 0.5000 [8 per cell]

Properties
The value obtained for the distance to the lowest polymorph of the same formula is 0.0 meV/atom. As for the total energy: -4.5928 eV/atom.

---

No. 5
Here is an optimized crystal structure of CdBSb from OQMD. Energies are from PBE.

Lattice parameters (Å, degrees): 6.5626 6.5626 6.5626 90.00 90.00 90.00
Space group F-43m (No. 216)
Symmetry-distinct sites (fractional):
Cd 0.0000 0.0000 0.0000 [4 per cell]
B 0.0000 0.0000 0.5000 [4 per cell]
Sb 0.2500 0.2500 0.7500 [4 per cell]

Properties
The value obtained for the distance to the lowest polymorph of the same formula is 0.0 meV/atom. As for the total energy: -2.7390 eV/atom.

---

No. 6
Here is an optimized crystal structure of NaPb5Au3 from OQMD. Energies are from PBE.

Lattice parameters (Å, degrees): 5.9582 5.9582 8.6303 90.00 90.00 120.00
Space group P6/mmm (No. 191)
Symmetry-distinct sites (fractional):
Na 0.0000 0.0000 0.0000 [1 per cell]
Pb 0.0000 0.0000 0.5000 [1 per cell]
Pb 0.3333 0.6667 0.2053 [4 per cell]
Au 0.0000 0.5000 0.5000 [3 per cell]

Properties
As for the total energy: -3.3192 eV/atom.